Entry 1:
Compound: BeCr2Re
Source: Alexandria
Functional: PBE-GGA
Structure: optimized geometry

crystal system = monoclinic
formation enthalpy at 0 K = 0.0646 eV/atom
spin magnetization = 0.00 μB/cell

Cell lengths 2.519, 4.105, 4.727 Å; angles 90.00, 101.82, 90.00 degrees
Space group P2/m (No. 10)
One atom of each set of equivalent atoms:
1 Be 0.000 0.000 0.000 x1
2 Cr 0.276 0.500 0.768 x2
3 Re 0.500 0.000 0.500 x1


Entry 2:
Compound: BaSr2CdIr
Source: Alexandria
Functional: PBE-GGA
Structure: optimized geometry

crystal system = tetragonal
energy above the lowest structure with this stoichiometry = 74 meV per atom
formation enthalpy at 0 K = -0.0639 eV/atom
spin magnetization = 0.00 μB/cell

Cell lengths 5.830, 5.830, 5.510 Å; angles 90.00, 90.00, 90.00 degrees
Space group P4/mmm (No. 123)
One atom of each set of equivalent atoms:
1 Ba 0.000 0.000 0.000 x1
2 Sr 0.000 0.500 0.500 x2
3 Cd 0.500 0.500 0.000 x1
4 Ir 0.500 0.500 0.500 x1


Entry 3:
Compound: LaRe2Pt
Source: Alexandria
Functional: PBE-GGA
Structure: optimized geometry

crystal system = orthorhombic
energy above the lowest structure with this stoichiometry = 319 meV per atom
formation enthalpy at 0 K = 0.2876 eV/atom
spin magnetization = 0.00 μB/cell

Cell lengths 2.821, 4.927, 10.802 Å; angles 90.00, 90.00, 90.00 degrees
Space group Immm (No. 71)
One atom of each set of equivalent atoms:
1 La 0.000 0.000 0.000 x2
2 Re 0.000 0.500 0.222 x4
3 Pt 0.000 0.000 0.500 x2


Entry 4:
Compound: Y2AlZn12Cu3
Source: Alexandria
Functional: PBE-GGA
Structure: optimized geometry

crystal system = trigonal
formation enthalpy at 0 K = 0.0011 eV/atom
spin magnetization = 0.00 μB/cell

Cell lengths 9.2154, 9.2154, 12.4866 Å; angles 90.00, 90.00, 120.00 degrees
Space group R-3m (No. 166, hexagonal axes)
One atom of each set of equivalent atoms:
1 Y 0.0000 0.0000 0.2462 x6
2 Al 0.0000 0.0000 0.5000 x3
3 Zn 0.0112 0.5056 0.2046 x18
4 Zn 0.0548 0.5274 0.5984 x18
5 Cu 0.0000 0.5000 0.0000 x9


Entry 5:
Compound: Na4CeY3S8
Source: Alexandria
Functional: PBE-GGA
Structure: optimized geometry

crystal system = trigonal
spin magnetization = 2.99 μB/cell
E_form (uncorrected) = -1.82 eV per atom

Cell lengths 8.0562, 8.0562, 20.0249 Å; angles 90.00, 90.00, 120.00 degrees
Space group R-3m (No. 166, hexagonal axes)
One atom of each set of equivalent atoms:
1 Na 0.0000 0.0000 0.0000 x3
2 Na 0.0000 0.5000 0.0000 x9
3 Ce 0.0000 0.0000 0.5000 x3
4 Y 0.0000 0.5000 0.5000 x9
5 S 0.0000 0.0000 0.2423 x6
6 S 0.0067 0.5034 0.7569 x18


Entry 6:
Compound: CePm2Nd
Source: Alexandria
Functional: PBE-GGA
Structure: optimized geometry

crystal system = trigonal
energy above the lowest structure with this stoichiometry = 7 meV per atom
formation enthalpy at 0 K = 0.0692 eV/atom
spin magnetization = 2.83 μB/cell

Cell lengths 3.6212, 3.6212, 35.4962 Å; angles 90.00, 90.00, 120.00 degrees
Space group R3m (No. 160, hexagonal axes)
One atom of each set of equivalent atoms:
1 Ce 0.0000 0.0000 0.0000 x3
2 Pm 0.0000 0.0000 0.5842 x3
3 Pm 0.0000 0.0000 0.7483 x3
4 Nd 0.0000 0.0000 0.1665 x3